Entry 1:
Computed, not measured: a relaxed structure of Y2PBr at the PBE level of DFT.

Geometry as CIF:
```
data_Y2PBr
_cell_length_a 4.070
_cell_length_b 6.105
_cell_length_c 8.023
_cell_angle_alpha 90.00
_cell_angle_beta 90.00
_cell_angle_gamma 90.00
_symmetry_space_group_name_H-M 'I m m m'
_symmetry_Int_Tables_number 71
_symmetry_space_group_name_Hall '-I 2 2'
loop_
_atom_site_label
_atom_site_fract_x
_atom_site_fract_y
_atom_site_fract_z
Y1 0.000 0.000 0.229
P1 0.000 0.500 0.500
Br1 0.000 0.500 0.000
```

Energy relative to the elements, uncorrected   -1014 meV/atom
Fermi-level density of states   4.91 states/eV per cell


Entry 2:
Computed, not measured: a relaxed structure of BaSiMo2 at the PBE level of DFT.

Geometry as CIF:
```
data_BaSiMo2
_cell_length_a 3.5996
_cell_length_b 3.5996
_cell_length_c 23.8239
_cell_angle_alpha 90.00
_cell_angle_beta 90.00
_cell_angle_gamma 120.00
_symmetry_space_group_name_H-M 'R -3 m'
_symmetry_Int_Tables_number 166
_symmetry_space_group_name_Hall '-R 3 2"'
loop_
_atom_site_label
_atom_site_fract_x
_atom_site_fract_y
_atom_site_fract_z
Ba1 0.0000 0.0000 0.0000
Si1 0.0000 0.0000 0.5000
Mo1 0.0000 0.0000 0.2185
```

Energy relative to the elements, uncorrected   672 meV/atom
Fermi-level density of states   12.18 states/eV per cell